Entry 1:
## Pm2MgSb4Rh3 (PBE-GGA)

Data for Pm2MgSb4Rh3 after structural relaxation.

Geometry as extended XYZ:
```
10
Lattice="4.449 0.000 0.000 0.000 4.449 0.000 0.000 0.000 11.321" Properties=species:S:1:pos:R:3 pbc="T T T"
Pm 0.000 2.224 2.747
Pm 2.224 0.000 8.574
Mg 0.000 0.000 5.660
Sb 0.000 0.000 0.000
Sb 0.000 2.224 7.314
Sb 2.224 0.000 4.006
Sb 2.224 2.224 0.000
Rh 0.000 2.224 9.905
Rh 2.224 0.000 1.416
Rh 2.224 2.224 5.660
```

Calculated values
uncorrected formation energy	-0.737	eV per atom
E	-57.01	eV per formula unit
total magnetic moment	0.000	μB per atom


Entry 2:
## AgSn2Rh (PBE-GGA)

Data for AgSn2Rh after structural relaxation.

Geometry as extended XYZ:
```
16
Lattice="6.782 0.000 0.000 0.000 6.782 0.000 0.000 0.000 6.782" Properties=species:S:1:pos:R:3 pbc="T T T"
Ag 0.000 0.000 0.000
Ag 0.000 3.391 3.391
Ag 3.391 0.000 3.391
Ag 3.391 3.391 0.000
Sn 1.696 1.696 1.696
Sn 1.696 1.696 5.087
Sn 1.696 5.087 1.696
Sn 1.696 5.087 5.087
Sn 5.087 1.696 1.696
Sn 5.087 1.696 5.087
Sn 5.087 5.087 1.696
Sn 5.087 5.087 5.087
Rh 0.000 0.000 3.391
Rh 0.000 3.391 0.000
Rh 3.391 0.000 0.000
Rh 3.391 3.391 3.391
```

Calculated values
E	-18.34	eV per formula unit
relative energy among the computed polymorphs	56	meV/atom
energy of formation from the pure elements	-0.1	eV per formula unit
total magnetic moment	0.000	μB per atom


Entry 3:
## ZnCdO2F (PBE-GGA)

Data for ZnCdO2F after structural relaxation.

Geometry as extended XYZ:
```
5
Lattice="3.890 0.000 0.000 0.000 3.890 0.000 0.000 0.000 4.033" Properties=species:S:1:pos:R:3 pbc="T T T"
Zn 0.000 0.000 0.000
Cd 1.945 1.945 2.017
O 0.000 1.945 0.000
O 1.945 0.000 0.000
F 0.000 0.000 2.017
```

Calculated values
uncorrected formation energy	-0.967	eV per atom
E	-18.81	eV per formula unit
total magnetic moment	0.095	μB per atom


Entry 4:
## Sm12Y2Tm (PBE-GGA)

Data for Sm12Y2Tm after structural relaxation.

Geometry as extended XYZ:
```
30
Lattice="3.586 -5.754 0.000 3.586 5.754 0.000 0.000 0.000 24.767" Properties=species:S:1:pos:R:3 pbc="T T T"
Sm 1.801 2.877 3.167
Sm 3.586 5.741 22.908
Sm 1.922 2.877 14.513
Sm 3.586 5.491 10.887
Sm 1.793 0.000 4.916
Sm 1.793 0.000 8.052
Sm 1.793 0.000 16.716
Sm 1.793 0.000 19.851
Sm 3.586 0.263 10.887
Sm 5.250 2.877 14.513
Sm 3.586 0.013 22.908
Sm 5.372 2.877 3.167
Sm 1.801 -2.877 21.601
Sm 3.586 -0.013 1.859
Sm 1.922 -2.877 10.254
Sm 3.586 -0.263 13.881
Sm 5.379 0.000 4.916
Sm 5.379 0.000 8.052
Sm 5.379 0.000 16.716
Sm 5.379 0.000 19.851
Sm 3.586 -5.491 13.881
Sm 5.250 -2.877 10.254
Sm 3.586 -5.741 1.859
Sm 5.372 -2.877 21.601
Y 3.586 2.877 6.687
Y 3.586 2.877 18.194
Y 3.586 -2.877 6.573
Y 3.586 -2.877 18.080
Tm 3.586 2.877 0.010
Tm 3.586 -2.877 24.757
```

Calculated values
E	-71.66	eV per formula unit
energy of formation from the pure elements	2.4	eV per formula unit
total magnetic moment	0.000	μB per atom


Entry 5:
## Na2LaDyCl8 (PBE-GGA)

Data for Na2LaDyCl8 after structural relaxation.

Geometry as extended XYZ:
```
12
Lattice="6.561 0.000 0.000 0.000 8.472 0.000 -0.393 0.000 6.592" Properties=species:S:1:pos:R:3 pbc="T T T"
Na 0.000 2.065 0.000
Na 0.000 6.406 0.000
La 3.084 4.236 3.296
Dy 3.084 0.000 3.296
Cl 1.253 4.236 1.278
Cl 1.318 0.000 1.369
Cl 1.761 2.007 4.497
Cl 1.761 6.464 4.497
Cl 4.407 2.007 2.095
Cl 4.407 6.464 2.095
Cl 4.850 0.000 5.223
Cl 4.915 4.236 5.314
```

Calculated values
uncorrected formation energy	-2.146	eV per atom
E	-52.69	eV per formula unit
total magnetic moment	0.000	μB per atom


Entry 6:
## FeOsRh2 (PBE-GGA)

Data for FeOsRh2 after structural relaxation.

Geometry as extended XYZ:
```
16
Lattice="6.037 0.000 0.000 0.000 6.037 0.000 0.000 0.000 6.037" Properties=species:S:1:pos:R:3 pbc="T T T"
Fe 0.000 0.000 0.000
Fe 0.000 3.018 3.018
Fe 3.018 0.000 3.018
Fe 3.018 3.018 0.000
Os 0.000 0.000 3.018
Os 0.000 3.018 0.000
Os 3.018 0.000 0.000
Os 3.018 3.018 3.018
Rh 1.509 1.509 1.509
Rh 1.509 1.509 4.527
Rh 1.509 4.527 1.509
Rh 1.509 4.527 4.527
Rh 4.527 1.509 1.509
Rh 4.527 1.509 4.527
Rh 4.527 4.527 1.509
Rh 4.527 4.527 4.527
```

Calculated values
E	-32.08	eV per formula unit
relative energy among the computed polymorphs	564	meV/atom
energy of formation from the pure elements	2.3	eV per formula unit
total magnetic moment	0.000	μB per atom


Entry 7:
## SrAg2OsO6 (PBE-GGA)

Data for SrAg2OsO6 after structural relaxation.

Geometry as extended XYZ:
```
20
Lattice="5.821 0.000 0.000 0.000 5.809 0.000 -5.665 0.000 8.401" Properties=species:S:1:pos:R:3 pbc="T T T"
Sr 0.000 0.000 0.000
Sr -2.833 2.904 4.201
Ag -2.850 0.141 6.233
Ag -0.018 2.763 2.032
Ag 0.174 3.046 6.369
Ag 3.006 5.668 2.168
Os 0.078 0.000 4.201
Os 2.910 2.904 0.000
O -0.482 0.503 2.436
O -3.314 2.402 6.637
O 1.237 3.710 0.300
O -1.595 5.004 4.501
O 2.202 1.290 0.639
O -0.631 1.615 4.840
O 0.787 4.194 3.562
O -2.046 4.519 7.762
O 1.751 0.805 3.900
O -1.081 2.099 8.101
O 3.470 3.407 1.765
O 0.638 5.306 5.965
```

Calculated values
uncorrected formation energy	-1.054	eV per atom
E	-58.91	eV per formula unit
total magnetic moment	0.000	μB per atom


Entry 8:
## Sc2AsCl (PBE-GGA)

Data for Sc2AsCl after structural relaxation.

Geometry as extended XYZ:
```
16
Lattice="6.927 0.000 0.000 0.000 6.927 0.000 0.000 0.000 6.927" Properties=species:S:1:pos:R:3 pbc="T T T"
Sc 0.000 0.000 0.000
Sc 0.000 3.464 3.464
Sc 1.732 1.732 1.732
Sc 1.732 5.195 5.195
Sc 3.464 0.000 3.464
Sc 3.464 3.464 0.000
Sc 5.195 1.732 5.195
Sc 5.195 5.195 1.732
As 0.000 0.000 3.464
As 0.000 3.464 0.000
As 3.464 0.000 0.000
As 3.464 3.464 3.464
Cl 1.732 1.732 5.195
Cl 1.732 5.195 1.732
Cl 5.195 1.732 1.732
Cl 5.195 5.195 5.195
```

Calculated values
uncorrected formation energy	-0.206	eV per atom
E	-19.98	eV per formula unit
total magnetic moment	0.497	μB per atom


Entry 9:
## Ta2TlTc (PBE-GGA)

Data for Ta2TlTc after structural relaxation.

Geometry as extended XYZ:
```
8
Lattice="3.301 0.000 0.000 0.000 4.903 0.000 0.000 0.000 9.227" Properties=species:S:1:pos:R:3 pbc="T T T"
Ta 0.000 0.000 2.068
Ta 0.000 0.000 7.159
Ta 1.651 2.451 2.068
Ta 1.651 2.451 7.159
Tl 0.000 2.451 4.613
Tl 1.651 0.000 4.613
Tc 0.000 2.451 0.000
Tc 1.651 0.000 0.000
```

Calculated values
E	-35.44	eV per formula unit
relative energy among the computed polymorphs	74	meV/atom
energy of formation from the pure elements	1.0	eV per formula unit
total magnetic moment	0.000	μB per atom


Entry 10:
## LaPr6NdHo2 (PBE-GGA)

Data for LaPr6NdHo2 after structural relaxation.

Geometry as extended XYZ:
```
20
Lattice="4.709 -7.707 0.000 4.709 7.707 0.000 -1.382 0.000 9.798" Properties=species:S:1:pos:R:3 pbc="T T T"
La 3.673 6.251 7.349
La 4.364 -6.251 2.450
Pr 3.284 6.055 3.722
Pr 2.490 3.481 1.778
Pr 5.444 6.055 1.177
Pr 3.309 2.699 5.450
Pr 4.037 2.699 9.247
Pr 6.238 3.481 3.121
Pr 1.799 -3.481 6.677
Pr 4.000 -2.699 0.551
Pr 4.728 -2.699 4.348
Pr 2.593 -6.055 8.622
Pr 5.547 -3.481 8.020
Pr 4.753 -6.055 6.076
Nd 4.364 0.479 2.450
Nd 3.673 -0.479 7.349
Ho 1.100 0.735 9.329
Ho 1.791 -0.735 4.429
Ho 6.246 0.735 5.369
Ho 6.937 -0.735 0.470
```

Calculated values
E	-46.45	eV per formula unit
energy of formation from the pure elements	1.1	eV per formula unit
total magnetic moment	0.000	μB per atom


Entry 11:
## BeAl2 (PBE-GGA)

Data for BeAl2 after structural relaxation.

Geometry as extended XYZ:
```
12
Lattice="6.014 0.000 0.000 0.000 6.014 0.000 0.000 0.000 4.548" Properties=species:S:1:pos:R:3 pbc="T T T"
Be 0.000 0.000 1.137
Be 0.000 0.000 3.411
Be 3.007 3.007 1.137
Be 3.007 3.007 3.411
Al 0.955 2.052 0.000
Al 0.955 3.962 2.274
Al 2.052 0.955 2.274
Al 2.052 5.059 0.000
Al 3.962 0.955 0.000
Al 3.962 5.059 2.274
Al 5.059 2.052 2.274
Al 5.059 3.962 0.000
```

Calculated values
E	-11.02	eV per formula unit
energy of formation from the pure elements	0.2	eV per formula unit
total magnetic moment	0.000	μB per atom


Entry 12:
## TaZnCl4 (PBE-GGA)

Data for TaZnCl4 after structural relaxation.

Geometry as extended XYZ:
```
6
Lattice="0.000 4.028 4.028 4.028 0.000 4.028 4.028 4.028 0.000" Properties=species:S:1:pos:R:3 pbc="T T T"
Ta 0.000 0.000 0.000
Zn 6.042 6.042 6.042
Cl 3.013 3.013 3.013
Cl 5.044 5.044 3.013
Cl 5.044 3.013 5.044
Cl 3.013 5.044 5.044
```

Calculated values
uncorrected formation energy	1.001	eV per atom
E	-14.51	eV per formula unit
total magnetic moment	0.164	μB per atom


Repeat the ninth record exactly.
## Ta2TlTc (PBE-GGA)

Data for Ta2TlTc after structural relaxation.

Geometry as extended XYZ:
```
8
Lattice="3.301 0.000 0.000 0.000 4.903 0.000 0.000 0.000 9.227" Properties=species:S:1:pos:R:3 pbc="T T T"
Ta 0.000 0.000 2.068
Ta 0.000 0.000 7.159
Ta 1.651 2.451 2.068
Ta 1.651 2.451 7.159
Tl 0.000 2.451 4.613
Tl 1.651 0.000 4.613
Tc 0.000 2.451 0.000
Tc 1.651 0.000 0.000
```

Calculated values
E	-35.44	eV per formula unit
relative energy among the computed polymorphs	74	meV/atom
energy of formation from the pure elements	1.0	eV per formula unit
total magnetic moment	0.000	μB per atom